# PBE TlCoAuN2, relaxed
data_TlCoAuN2
_symmetry_space_group_name_H-M 'P 4/m m m'
_symmetry_Int_Tables_number 123
_symmetry_space_group_name_Hall '-P 4 2'
_cell_length_a 4.203
_cell_length_b 4.203
_cell_length_c 5.081
_cell_angle_alpha 90.00
_cell_angle_beta 90.00
_cell_angle_gamma 90.00
loop_
_atom_site_label
_atom_site_type_symbol
_atom_site_fract_x
_atom_site_fract_y
_atom_site_fract_z
Tl1 Tl 0.000 0.000 0.000
Co1 Co 0.000 0.000 0.500
Au1 Au 0.500 0.500 0.500
N1 N 0.000 0.500 0.000
# **N(E_F)**: 7.5 states/eV per cell
# **Formation energy without anion corrections**: 2405 meV per atom